# Hf3TlAs5

A relaxed structure of Hf3TlAs5 (PBE, OQMD).

The structure belongs to space group P6/mmm (No. 191); the cell edges are 6.1673, 6.1673 and 6.4247 Å and the angles 90.00°, 90.00° and 120.00°. The asymmetric unit holds Hf at (0.0000, 0.5000, 0.0000), Tl at (0.0000, 0.0000, 0.5000), As at (0.0000, 0.0000, 0.0000) and As at (0.3333, 0.6667, 0.3078).

The crystal system is hexagonal. For the total magnetization, the calculation gives 0.0 μB/cell. For the total energy, the calculation gives -6.5351 eV per atom.


# HfTlAs

A relaxed structure of HfTlAs (PBE, OQMD).

The structure belongs to space group F-43m (No. 216); the cell edges are 6.802, 6.802 and 6.802 Å and the angles 90.00°, 90.00° and 90.00°. The asymmetric unit holds Hf at (0.000, 0.000, 0.000), Tl at (0.250, 0.250, 0.750) and As at (0.000, 0.000, 0.500).

The crystal system is cubic. For the total magnetization, the calculation gives 0.4 μB/cell. For the total energy, the calculation gives -4.9116 eV per atom.


# Hf3Tl4As4

A relaxed structure of Hf3Tl4As4 (PBE, OQMD).

The structure belongs to space group Pm (No. 6); the cell edges are 7.796, 3.728 and 9.347 Å and the angles 90.00°, 98.05° and 90.00°. The asymmetric unit holds Hf at (0.000, 0.000, 0.000), Hf at (0.220, 0.500, 0.477), Hf at (0.730, 0.500, 0.548), Tl at (0.186, 0.500, 0.794), Tl at (0.432, 0.500, 0.147), Tl at (0.520, 0.000, 0.849), Tl at (0.769, 0.000, 0.242), As at (0.084, 0.500, 0.203), As at (0.474, 0.000, 0.505), As at (0.813, 0.500, 0.836) and As at (0.982, 0.000, 0.535).

The crystal system is monoclinic. For the total magnetization, the calculation gives 0.0 μB/cell. For the total energy, the calculation gives -5.5333 eV per atom.


# Hf3TlAs

A relaxed structure of Hf3TlAs (PBE, OQMD).

The structure belongs to space group Cmcm (No. 63); the cell edges are 3.624, 11.942 and 10.120 Å and the angles 90.00°, 90.00° and 90.00°. The asymmetric unit holds Hf at (0.000, 0.032, 0.250), Hf at (0.000, 0.351, 0.060), Tl at (0.000, 0.268, 0.750) and As at (0.000, 0.000, 0.000).

The crystal system is orthorhombic. For the total magnetization, the calculation gives 0.1 μB/cell. For the total energy, the calculation gives -7.6501 eV per atom.


# Hf6TlAs2

A relaxed structure of Hf6TlAs2 (PBE, OQMD).

The structure belongs to space group P-62m (No. 189); the cell edges are 7.4589, 7.4589 and 3.8219 Å and the angles 90.00°, 90.00° and 120.00°. The asymmetric unit holds Hf at (0.0000, 0.2701, 0.0000), Hf at (0.0000, 0.5864, 0.5000), Tl at (0.0000, 0.0000, 0.5000) and As at (0.3333, 0.6667, 0.0000).

The crystal system is hexagonal. For the total magnetization, the calculation gives 0.0 μB/cell. For the total energy, the calculation gives -8.3264 eV per atom.


# TmHfAs

A relaxed structure of TmHfAs (PBE, OQMD).

The structure belongs to space group F-43m (No. 216); the cell edges are 6.502, 6.502 and 6.502 Å and the angles 90.00°, 90.00° and 90.00°. The asymmetric unit holds Tm at (0.000, 0.000, 0.000), Hf at (0.000, 0.000, 0.500) and As at (0.250, 0.250, 0.750).

The crystal system is cubic. For the total magnetization, the calculation gives 2.2 μB/cell. For the total energy, the calculation gives -6.7595 eV per atom.


# HfAs2W

A relaxed structure of HfAs2W (PBE, OQMD).

The structure belongs to space group F-43m (No. 216); the cell edges are 6.543, 6.543 and 6.543 Å and the angles 90.00°, 90.00° and 90.00°. The asymmetric unit holds Hf at (0.000, 0.000, 0.000), As at (0.000, 0.000, 0.500), As at (0.250, 0.250, 0.250) and W at (0.250, 0.250, 0.750).

The crystal system is cubic. For the total magnetization, the calculation gives 0.0 μB/cell. For the total energy, the calculation gives -7.8117 eV per atom.


# Hf9AsW4

A relaxed structure of Hf9AsW4 (PBE, OQMD).

The structure belongs to space group P6_3/mmc (No. 194); the cell edges are 8.6929, 8.6929 and 8.6937 Å and the angles 90.00°, 90.00° and 120.00°. The asymmetric unit holds Hf at (0.0804, 0.5402, 0.2500), Hf at (0.1952, 0.3903, 0.5462), As at (0.3333, 0.6667, 0.7500), W at (0.0000, 0.0000, 0.0000) and W at (0.1101, 0.2202, 0.2500).

The crystal system is hexagonal. For the total magnetization, the calculation gives 0.0 μB/cell. For the total energy, the calculation gives -10.6933 eV per atom.